# Na3AlSiTe4

A relaxed structure of Na3AlSiTe4 (PBE, Alexandria).

As for the formation energy (no corrections): -49.0 kJ per mole of atoms. The calculation puts the total energy at -3.362 eV per atom. The value obtained for the polymorph energy (0 for the lowest one) is 2.2 meV per atom. Its crystal system is monoclinic.

The space group is Cm (No. 8) and the conventional cell measures 16.491, 4.205 and 10.493 Å, with angles of 90.00, 116.58 and 90.00 degrees. Symmetry generates all atoms from Na at (0.000, 0.000, 0.000), Na at (0.053, 0.000, 0.622), Na at (0.304, 0.000, 0.296), Al at (0.078, 0.500, 0.336), Si at (0.328, 0.500, 0.551), Te at (0.150, 0.500, 0.163), Te at (0.192, 0.500, 0.612), Te at (0.433, 0.000, 0.716) and Te at (0.462, 0.500, 0.280).